A relaxed HoPaCoO6 crystal, computed with PBE+U.

a b c (Å): 5.2602 5.2602 4.8084
angles (deg): 90.00 90.00 120.00
Space group P312 (No. 149)
One atom of each set of equivalent atoms:
Ho 0.0000 0.0000 0.0000 [1 per cell]
Pa 0.3333 0.6667 0.5000 [1 per cell]
Co 0.6667 0.3333 0.0000 [1 per cell]
O 0.3776 0.0253 0.7674 [6 per cell]

Values from the calculation:
For the density, the calculation gives 7.94 g/cm3. The value obtained for the electronic total energy is -7.948 eV/atom.